No. 1
Nd2Ni3P | PBE-GGA | relaxed Values from VASP.

Cell and atoms, written as Quantum ESPRESSO input:
```
&SYSTEM
  ibrav = 0, nat = 6, ntyp = 3
/
ATOMIC_SPECIES
Nd 144.24 Nd.upf
Ni 58.69 Ni.upf
P 30.97 P.upf
ATOMIC_POSITIONS crystal
Nd 0.000 0.500 0.001
Ni 0.500 0.500 0.653
Ni 0.500 0.000 0.179
P 0.500 0.500 0.330
Ni 0.500 0.000 0.835
Nd 0.000 0.000 0.501
CELL_PARAMETERS angstrom
3.996 0.000 0.000
0.000 3.974 0.000
0.000 0.000 7.011
```



No. 2
NdNi12P6 | PBE-GGA | relaxed Values from VASP.

Cell and atoms, written as Quantum ESPRESSO input:
```
&SYSTEM
  ibrav = 0, nat = 19, ntyp = 3
/
ATOMIC_SPECIES
Ni 58.69 Ni.upf
P 30.97 P.upf
Nd 144.24 Nd.upf
ATOMIC_POSITIONS crystal
Ni 0.821 0.544 0.544
P 0.763 0.763 0.327
Ni 0.128 0.500 0.872
Ni 0.872 0.128 0.500
P 0.673 0.237 0.237
P 0.327 0.763 0.763
Ni 0.872 0.500 0.128
Ni 0.544 0.821 0.544
P 0.237 0.237 0.673
P 0.763 0.327 0.763
Ni 0.456 0.456 0.179
Ni 0.179 0.456 0.456
Ni 0.456 0.179 0.456
Ni 0.128 0.872 0.500
Ni 0.544 0.544 0.821
Ni 0.500 0.128 0.872
P 0.237 0.673 0.237
Ni 0.500 0.872 0.128
Nd 0.000 0.000 0.000
CELL_PARAMETERS angstrom
6.466 0.032 0.044
-1.572 6.272 0.044
-1.572 -2.025 5.936
```



No. 3
NdNi3P3 | PBE-GGA | relaxed Values from VASP.

Cell and atoms, written as Quantum ESPRESSO input:
```
&SYSTEM
  ibrav = 0, nat = 14, ntyp = 3
/
ATOMIC_SPECIES
Ni 58.69 Ni.upf
Nd 144.24 Nd.upf
P 30.97 P.upf
ATOMIC_POSITIONS crystal
Ni 0.125 0.463 0.621
Ni 0.875 0.537 0.379
Nd 0.667 0.667 0.999
P 0.770 0.420 0.712
Ni 0.791 0.125 0.621
P 0.420 0.097 0.712
P 0.097 0.770 0.712
P 0.230 0.580 0.288
P 0.580 0.903 0.288
Ni 0.209 0.875 0.379
Nd 0.333 0.333 0.001
Ni 0.463 0.791 0.621
P 0.903 0.230 0.288
Ni 0.537 0.209 0.379
CELL_PARAMETERS angstrom
-4.315 -4.803 0.605
2.004 -6.167 0.095
-0.172 -3.360 6.852
```



No. 4
NdNiP2Pd2 | PBE-GGA | relaxed Values from VASP.

Cell and atoms, written as Quantum ESPRESSO input:
```
&SYSTEM
  ibrav = 0, nat = 6, ntyp = 4
/
ATOMIC_SPECIES
Ni 58.69 Ni.upf
Pd 106.42 Pd.upf
Nd 144.24 Nd.upf
P 30.97 P.upf
ATOMIC_POSITIONS crystal
Ni 0.000 0.000 0.000
Pd 0.250 0.750 0.500
Nd 0.500 0.500 0.000
Pd 0.750 0.250 0.500
P 0.844 0.844 0.687
P 0.156 0.156 0.313
CELL_PARAMETERS angstrom
4.135 0.000 0.000
0.000 4.135 0.000
-2.067 -2.067 6.598
```



No. 5
Nd2Ni3P4Pd | PBE-GGA | relaxed Values from VASP.

Cell and atoms, written as Quantum ESPRESSO input:
```
&SYSTEM
  ibrav = 0, nat = 10, ntyp = 4
/
ATOMIC_SPECIES
Pd 106.42 Pd.upf
P 30.97 P.upf
Nd 144.24 Nd.upf
Ni 58.69 Ni.upf
ATOMIC_POSITIONS crystal
Pd 0.500 0.500 0.500
P 0.500 0.500 0.000
P 0.000 0.500 0.361
Nd 0.500 0.000 0.242
Nd 0.000 0.500 0.758
P 0.000 0.000 0.000
Ni 0.500 0.000 0.889
Ni 0.000 0.000 0.500
P 0.500 0.000 0.639
Ni 0.000 0.500 0.111
CELL_PARAMETERS angstrom
4.116 0.000 0.000
0.000 4.116 0.000
0.000 0.000 9.285
```



No. 6
Nd2NiP4Pt3 | PBE-GGA | relaxed Values from VASP.

Cell and atoms, written as Quantum ESPRESSO input:
```
&SYSTEM
  ibrav = 0, nat = 10, ntyp = 4
/
ATOMIC_SPECIES
Nd 144.24 Nd.upf
Pt 195.08 Pt.upf
P 30.97 P.upf
Ni 58.69 Ni.upf
ATOMIC_POSITIONS crystal
Nd 0.000 0.500 0.749
Pt 0.000 0.500 0.119
P 0.000 0.000 0.000
Pt 0.500 0.000 0.881
P 0.000 0.500 0.374
P 0.500 0.500 0.000
P 0.500 0.000 0.626
Nd 0.500 0.000 0.251
Ni 0.500 0.500 0.500
Pt 0.000 0.000 0.500
CELL_PARAMETERS angstrom
4.269 0.000 0.000
0.000 4.269 0.000
0.000 0.000 9.515
```



No. 7
NdNi2PPt2 | PBE-GGA | relaxed Values from VASP.

Cell and atoms, written as Quantum ESPRESSO input:
```
&SYSTEM
  ibrav = 0, nat = 6, ntyp = 4
/
ATOMIC_SPECIES
Nd 144.24 Nd.upf
Pt 195.08 Pt.upf
Ni 58.69 Ni.upf
P 30.97 P.upf
ATOMIC_POSITIONS crystal
Nd 0.000 0.000 0.500
Pt 0.500 0.500 0.267
Ni 0.000 0.500 0.000
P 0.000 0.000 0.000
Pt 0.500 0.500 0.733
Ni 0.500 0.000 0.000
CELL_PARAMETERS angstrom
4.291 0.000 0.000
0.000 4.291 0.000
0.000 0.000 5.623
```



No. 8
Nd2NiP3Rh4 | PBE-GGA | relaxed Values from VASP.

Cell and atoms, written as Quantum ESPRESSO input:
```
&SYSTEM
  ibrav = 0, nat = 10, ntyp = 4
/
ATOMIC_SPECIES
P 30.97 P.upf
Rh 102.91 Rh.upf
Ni 58.69 Ni.upf
Nd 144.24 Nd.upf
ATOMIC_POSITIONS crystal
P 0.000 0.500 0.136
Rh 0.500 0.500 0.000
Rh 0.000 0.000 0.000
Rh 0.000 0.500 0.373
P 0.000 0.000 0.500
P 0.500 0.000 0.864
Ni 0.500 0.500 0.500
Nd 0.000 0.500 0.740
Rh 0.500 0.000 0.627
Nd 0.500 0.000 0.260
CELL_PARAMETERS angstrom
4.131 0.000 0.000
0.000 4.131 0.000
0.000 0.000 9.772
```



Total magnetic moment values (in μB per formula unit) by entry order: 0.000; 0.000; 0.000; 0.000; 0.000; 0.000; 0.001; 0.129.
Formation energy values (in meV per atom) by entry order: -690; -544; -704; -602; -978; -977; -505; -967.
N(E_F) values (in states/eV/atom) by entry order: 0.677; 0.566; 0.590; 0.512; 0.265; 0.313; 1.437; 0.826.